(1)
The following is a PBE calculation of a relaxed Sm2PaS2N2 crystal, from the Alexandria database.

Cell lengths 8.0720, 8.0720, 8.0720 Å; angles 148.94, 148.94, 44.50 degrees
Last column: nearest neighbours and their distance in Å.
Element x y z (fractional)
1 Sm 0.1311 0.1311 0.0000  1 S 2.78, 4 N 2.92
2 Sm 0.8689 0.8689 0.0000  1 S 2.78, 4 N 2.92
3 Pa 0.5000 0.5000 0.0000  4 N 2.16
4 S 0.3175 0.3175 0.0000  1 Pa 2.73, 1 Sm 2.78
5 S 0.6825 0.6825 0.0000  1 Pa 2.73, 1 Sm 2.78
6 N 0.0000 0.5000 0.5000  2 Pa 2.16
7 N 0.5000 0.0000 0.5000  2 Pa 2.16

Calculated values
- Formation energy from raw total energies: -1.59 eV/atom
- Final energy: -7.855 eV per atom
- Space group: I4/mmm (139)
- Calculated density: 7.42 g/cm3

(2)
The following is a PBE calculation of a relaxed IrOsW2 crystal, from the Alexandria database.

Cell lengths 6.8609, 6.8609, 6.8609 Å; angles 130.33, 130.33, 72.88 degrees
Last column: nearest neighbours and their distance in Å.
Element x y z (fractional)
1 Ir 0.0000 0.0000 0.0000  4 W 2.46
2 Ir 0.7500 0.2500 0.5000  4 W 2.46
3 Os 0.2500 0.7500 0.5000  4 W 2.46
4 Os 0.5000 0.5000 0.0000  4 W 2.46
5 W 0.1246 0.6250 0.9996  2 Ir 2.46, 2 Os 2.46
6 W 0.3750 0.3746 0.4996  2 Ir 2.46, 2 Os 2.46
7 W 0.6254 0.1250 0.0004  2 Ir 2.46, 2 Os 2.46
8 W 0.8750 0.8754 0.5004  2 Ir 2.46, 2 Os 2.46

Calculated values
- Energy of formation: 1.26 eV/atom
- Final energy: -10.235 eV per atom
- Space group: I-42d (122)
- Calculated density: 13.59 g/cm3

(3)
The following is a PBE calculation of a relaxed SrCaPdPb crystal, from the Alexandria database.

Cell lengths 5.4269, 5.4269, 5.4269 Å; angles 60.00, 60.00, 60.00 degrees
Last column: nearest neighbours and their distance in Å.
Element x y z (fractional)
1 Sr 0.0000 0.0000 0.0000  4 Pb 3.32, 4 Pd 3.32
2 Ca 0.5000 0.5000 0.5000  4 Pb 3.32, 4 Pd 3.32
3 Pd 0.2500 0.2500 0.2500  4 Ca 3.32, 4 Sr 3.32
4 Pb 0.7500 0.7500 0.7500  4 Sr 3.32, 4 Ca 3.32

Calculated values
- Energy of formation: -0.49 eV/atom
- Final energy: -3.632 eV per atom
- Space group: F-43m (216)
- Calculated density: 6.48 g/cm3

Q: Which formula does entry 3 have?
A: SrCaPdPb

Q: What is the formula in the first record?
A: Sm2PaS2N2